No. 1
CaMn2Te | GGA-PBE | optimized geometry

CIF file:
```
data_CaMn2Te
_cell_length_a 3.840
_cell_length_b 4.041
_cell_length_c 6.433
_cell_angle_alpha 90.00
_cell_angle_beta 107.21
_cell_angle_gamma 90.00
_symmetry_space_group_name_H-M 'P 1'
_symmetry_Int_Tables_number 1
loop_
_symmetry_equiv_pos_as_xyz
'x,y,z'
loop_
_atom_site_label
_atom_site_fract_x
_atom_site_fract_y
_atom_site_fract_z
Ca1 0.000 0.000 0.000
Mn1 0.242 0.000 0.483
Mn2 0.693 0.500 0.385
Te1 0.388 0.500 0.775
```

Results
D(E_F) (states/eV per atom): 0.9483

=====

No. 2
Na3ZnPd | GGA-PBE | optimized geometry

CIF file:
```
data_Na3ZnPd
_cell_length_a 5.455
_cell_length_b 5.455
_cell_length_c 5.455
_cell_angle_alpha 90.00
_cell_angle_beta 90.00
_cell_angle_gamma 90.00
_symmetry_space_group_name_H-M 'P 1'
_symmetry_Int_Tables_number 1
loop_
_symmetry_equiv_pos_as_xyz
'x,y,z'
loop_
_atom_site_label
_atom_site_fract_x
_atom_site_fract_y
_atom_site_fract_z
Na1 0.000 0.000 0.500
Na2 0.000 0.500 0.000
Na3 0.500 0.000 0.000
Zn1 0.500 0.500 0.500
Pd1 0.000 0.000 0.000
```

Results
Relative energy among the computed polymorphs (meV/atom): 0
E_form (eV/atom): 0.220
D(E_F) (states/eV per atom): 0.6360

=====

No. 3
La3YGa | GGA-PBE | optimized geometry

CIF file:
```
data_La3YGa
_cell_length_a 5.950
_cell_length_b 5.950
_cell_length_c 5.950
_cell_angle_alpha 90.00
_cell_angle_beta 90.00
_cell_angle_gamma 90.00
_symmetry_space_group_name_H-M 'P 1'
_symmetry_Int_Tables_number 1
loop_
_symmetry_equiv_pos_as_xyz
'x,y,z'
loop_
_atom_site_label
_atom_site_fract_x
_atom_site_fract_y
_atom_site_fract_z
La1 0.000 0.000 0.500
La2 0.000 0.500 0.000
La3 0.500 0.000 0.000
Y1 0.500 0.500 0.500
Ga1 0.000 0.000 0.000
```

Results
Relative energy among the computed polymorphs (meV/atom): 0
E_form (eV/atom): 0.157
D(E_F) (states/eV per atom): 2.4199

=====

No. 4
PmPaSn2 | GGA-PBE | optimized geometry

CIF file:
```
data_PmPaSn2
_cell_length_a 3.432
_cell_length_b 3.432
_cell_length_c 9.043
_cell_angle_alpha 90.00
_cell_angle_beta 90.00
_cell_angle_gamma 90.00
_symmetry_space_group_name_H-M 'P 1'
_symmetry_Int_Tables_number 1
loop_
_symmetry_equiv_pos_as_xyz
'x,y,z'
loop_
_atom_site_label
_atom_site_fract_x
_atom_site_fract_y
_atom_site_fract_z
Pm1 0.000 0.000 0.000
Pa1 0.000 0.000 0.500
Sn1 0.500 0.500 0.254
Sn2 0.500 0.500 0.746
```

Results
Relative energy among the computed polymorphs (meV/atom): 0
E_form (eV/atom): -0.409
D(E_F) (states/eV per atom): 1.3113

=====

no.,theoretical density (Mg/m³),calculated total energy (eV per atom)
1,4.83,-5.8161
2,2.46,-1.8645
3,4.54,-4.6980
4,9.56,-5.9720